1.
This record from the Alexandria database describes crystalline La2VCrBr at its relaxed geometry. The functional is PBE.

- crystal system = tetragonal
- size of the total moment (Bohr magnetons per cell) = 0.603

Cell: 5.6966 5.6966 4.1551 Å, 90.00 90.00 90.00°
Last column: nearest neighbours and their distance in Å.
Fractional coordinates of all 5 atoms:
La (0.0000, 0.5000, 0.0000)  2 Cr 2.85
La (0.5000, 0.0000, 0.0000)  2 Cr 2.85
V (0.0000, 0.0000, 0.5000)  2 Cr 2.08
Cr (0.0000, 0.0000, 0.0000)  2 V 2.08
Br (0.5000, 0.5000, 0.5000)  8 La 3.53

---

2.
This record from the Alexandria database describes crystalline NaU6Se8 at its relaxed geometry. The functional is PBE.

- crystal system = cubic
- size of the total moment (Bohr magnetons per cell) = 17.349

Cell: 8.1341 8.1341 8.1341 Å, 60.00 60.00 60.00°
Last column: nearest neighbours and their distance in Å.
Fractional coordinates of all 15 atoms:
Na (0.0000, 0.0000, 0.0000)  6 Se 2.95
U (0.0000, 0.0000, 0.5000)  6 Se 2.88
U (0.0000, 0.5000, 0.0000)  6 Se 2.88
U (0.0000, 0.5000, 0.5000)  6 Se 2.88
U (0.5000, 0.0000, 0.0000)  6 Se 2.88
U (0.5000, 0.0000, 0.5000)  6 Se 2.88
U (0.5000, 0.5000, 0.0000)  6 Se 2.88
Se (0.2500, 0.2500, 0.2500)  6 U 2.88
Se (0.2563, 0.2563, 0.7437)  4 U 2.88, 1 Na 2.95
Se (0.2563, 0.7437, 0.2563)  4 U 2.88, 1 Na 2.95
Se (0.2563, 0.7437, 0.7437)  4 U 2.88, 1 Na 2.95
Se (0.7437, 0.2563, 0.2563)  4 U 2.88, 1 Na 2.95
Se (0.7437, 0.2563, 0.7437)  4 U 2.88, 1 Na 2.95
Se (0.7437, 0.7437, 0.2563)  4 U 2.88, 1 Na 2.95
Se (0.7500, 0.7500, 0.7500)  6 U 2.88

---

| no. | Fermi-level density of states (states/eV/atom) | formation energy without anion corrections (kJ per mole of atoms) |
| --- | --- | --- |
| 1 | 1.07 | 10 |
| 2 | 2.79 | -102 |